1.
# KYAl2

An optimized crystal structure of KYAl2 (PBE, Alexandria via LeMat-Bulk).

Formation energy from the elements: 0.001 eV per atom
N(E_F): 1.8 states/eV/cell
V: 28.99 Å³ per atom
Distance to the lowest polymorph of the same formula: 0.00 kcal/mol of atoms
Uncorrected energy: -15.04 eV/f.u.

Cell and atoms, written as CIF:
```
data_KYAl2
_chemical_formula_sum 'K1 Y1 Al2'
_space_group_name_H-M_alt 'P 4/m m m'
_space_group_IT_number 123
_space_group_name_Hall '-P 4 2'
_cell_length_a 3.799
_cell_length_b 3.799
_cell_length_c 8.035
_cell_angle_alpha 90.00
_cell_angle_beta 90.00
_cell_angle_gamma 90.00
loop_
_atom_site_label
_atom_site_type_symbol
_atom_site_fract_x
_atom_site_fract_y
_atom_site_fract_z
K1 K 0.000 0.000 0.000
Y1 Y 0.000 0.000 0.500
Al1 Al 0.500 0.500 0.314
```



2.
# CaMnCdP

An optimized crystal structure of CaMnCdP (PBE, Alexandria via LeMat-Bulk).

Formation energy from the elements: -0.534 eV per atom
N(E_F): 4.3 states/eV/cell
V: 20.55 Å³ per atom
Uncorrected energy: -19.63 eV/f.u.

Cell and atoms, written as CIF:
```
data_CaMnCdP
_chemical_formula_sum 'Ca2 Mn2 Cd2 P2'
_space_group_name_H-M_alt 'P 4/n m m'
_space_group_IT_number 129
_cell_length_a 3.846
_cell_length_b 3.846
_cell_length_c 11.115
_cell_angle_alpha 90.00
_cell_angle_beta 90.00
_cell_angle_gamma 90.00
loop_
_space_group_symop_operation_xyz
'x,y,z'
'-x,-y,-z'
'-y+1/2,x,z'
'y+1/2,-x,-z'
'-x+1/2,-y+1/2,z'
'x+1/2,y+1/2,-z'
'y,-x+1/2,z'
'-y,x+1/2,-z'
'x+1/2,-y,-z'
'-x+1/2,y,z'
'-y,-x,-z'
'y,x,z'
'-x,y+1/2,-z'
'x,-y+1/2,z'
'y+1/2,x+1/2,-z'
'-y+1/2,-x+1/2,z'
loop_
_atom_site_label
_atom_site_type_symbol
_atom_site_fract_x
_atom_site_fract_y
_atom_site_fract_z
Ca1 Ca 0.250 0.250 0.231
Mn1 Mn 0.250 0.750 0.000
Cd1 Cd 0.250 0.750 0.500
P1 P 0.250 0.250 0.883
```



3.
# La2PuAs3

An optimized crystal structure of La2PuAs3 (PBE, Alexandria via LeMat-Bulk).

Formation energy from the elements: -1.358 eV per atom
N(E_F): 28.2 states/eV/cell
V: 28.10 Å³ per atom
Distance to the lowest polymorph of the same formula: 0.00 kcal/mol of atoms
Uncorrected energy: -46.29 eV/f.u.

Cell and atoms, written as CIF:
```
data_La2PuAs3
_chemical_formula_sum 'La4 Pu2 As6'
_space_group_name_H-M_alt 'I m m m'
_space_group_IT_number 71
_space_group_name_Hall '-I 2 2'
_cell_length_a 4.305
_cell_length_b 6.082
_cell_length_c 12.880
_cell_angle_alpha 90.00
_cell_angle_beta 90.00
_cell_angle_gamma 90.00
loop_
_atom_site_label
_atom_site_type_symbol
_atom_site_fract_x
_atom_site_fract_y
_atom_site_fract_z
La1 La 0.000 0.000 0.168
Pu1 Pu 0.000 0.000 0.500
As1 As 0.000 0.500 0.157
As2 As 0.000 0.500 0.500
```



4.
# K3InI2O9

An optimized crystal structure of K3InI2O9 (PBE, Alexandria via LeMat-Bulk).

Energy relative to the elements, uncorrected: -0.9631 eV/atom
N(E_F): 1.1 states/eV/cell
V: 14.11 Å³ per atom
Uncorrected energy: -68.20 eV/f.u.

Cell and atoms, written as CIF:
```
data_K3InI2O9
_chemical_formula_sum 'K3 In1 I2 O9'
_space_group_name_H-M_alt 'P -3 m 1'
_space_group_IT_number 164
_space_group_name_Hall '-P 3 2"'
_cell_length_a 5.8494
_cell_length_b 5.8494
_cell_length_c 7.1411
_cell_angle_alpha 90.00
_cell_angle_beta 90.00
_cell_angle_gamma 120.00
loop_
_atom_site_label
_atom_site_type_symbol
_atom_site_fract_x
_atom_site_fract_y
_atom_site_fract_z
K1 K 0.0000 0.0000 0.0000
K2 K 0.3333 0.6667 0.6716
In1 In 0.0000 0.0000 0.5000
I1 I 0.3333 0.6667 0.1743
O1 O 0.0000 0.5000 0.0000
O2 O 0.1769 0.3537 0.3240
```



5.
# Tm2ThMg2

An optimized crystal structure of Tm2ThMg2 (PBE, Alexandria via LeMat-Bulk).

Formation energy from the elements: 0.287 eV per atom
N(E_F): 11.3 states/eV/cell
V: 29.84 Å³ per atom
Distance to the lowest polymorph of the same formula: 5.52 kcal/mol of atoms
Uncorrected energy: -18.12 eV/f.u.

Cell and atoms, written as CIF:
```
data_Tm2ThMg2
_chemical_formula_sum 'Tm4 Th2 Mg4'
_space_group_name_H-M_alt 'I 4/m m m'
_space_group_IT_number 139
_space_group_name_Hall '-I 4 2'
_cell_length_a 3.839
_cell_length_b 3.839
_cell_length_c 20.246
_cell_angle_alpha 90.00
_cell_angle_beta 90.00
_cell_angle_gamma 90.00
loop_
_atom_site_label
_atom_site_type_symbol
_atom_site_fract_x
_atom_site_fract_y
_atom_site_fract_z
Tm1 Tm 0.000 0.000 0.109
Th1 Th 0.000 0.000 0.500
Mg1 Mg 0.000 0.500 0.250
```



6.
# Sm4Pt2Au

An optimized crystal structure of Sm4Pt2Au (PBE, Alexandria via LeMat-Bulk).

Formation energy from the elements: -0.848 eV per atom
N(E_F): 17.3 states/eV/cell
V: 27.40 Å³ per atom
Uncorrected energy: -40.17 eV/f.u.

Cell and atoms, written as CIF:
```
data_Sm4Pt2Au
_chemical_formula_sum 'Sm12 Pt6 Au3'
_space_group_name_H-M_alt 'R -3 m'
_space_group_IT_number 166
_space_group_name_Hall '-R 3 2"'
_cell_length_a 4.6512
_cell_length_b 4.6512
_cell_length_c 30.7097
_cell_angle_alpha 90.00
_cell_angle_beta 90.00
_cell_angle_gamma 120.00
loop_
_atom_site_label
_atom_site_type_symbol
_atom_site_fract_x
_atom_site_fract_y
_atom_site_fract_z
Sm1 Sm 0.0000 0.0000 0.1166
Sm2 Sm 0.0000 0.0000 0.2982
Pt1 Pt 0.0000 0.0000 0.4037
Au1 Au 0.0000 0.0000 0.5000
```